# 1
Computed, not measured: a crystal of Cd5Ag relaxed with PBEsol at the meta-GGA SCAN level of DFT.

Structure (CIF):
```
data_Cd5Ag
_cell_length_a 4.2255
_cell_length_b 12.8708
_cell_length_c 4.3448
_cell_angle_alpha 90.00
_cell_angle_beta 90.00
_cell_angle_gamma 90.00
_space_group_name_H-M_alt 'C m m m'
_space_group_IT_number 65
_space_group_name_Hall '-C 2 2'
loop_
_atom_site_label
_atom_site_type_symbol
_atom_site_fract_x
_atom_site_fract_y
_atom_site_fract_z
_atom_site_occupancy
Cd1 Cd 0.0000 0.0000 0.0000 1
Cd2 Cd 0.0000 0.1633 0.5000 1
Cd3 Cd 0.0000 0.3355 0.0000 1
Ag1 Ag 0.0000 0.5000 0.5000 1
```

## Properties
Energy of formation from the pure elements (eV per atom): 0.008
Mass density (g/cm3): 9.42
DOS at the Fermi energy (states/eV/cell): 4.05

# 2
Computed, not measured: a crystal of CdAg3 relaxed with PBEsol at the meta-GGA SCAN level of DFT.

Structure (CIF):
```
data_CdAg3
_cell_length_a 4.1038
_cell_length_b 4.1038
_cell_length_c 16.3331
_cell_angle_alpha 90.00
_cell_angle_beta 90.00
_cell_angle_gamma 90.00
_space_group_name_H-M_alt 'I 4/m m m'
_space_group_IT_number 139
_space_group_name_Hall '-I 4 2'
loop_
_atom_site_label
_atom_site_type_symbol
_atom_site_fract_x
_atom_site_fract_y
_atom_site_fract_z
_atom_site_occupancy
Cd1 Cd 0.0000 0.0000 0.1259 1
Ag1 Ag 0.0000 0.0000 0.3761 1
Ag2 Ag 0.0000 0.5000 0.0000 1
Ag3 Ag 0.0000 0.5000 0.2500 1
```

## Properties
Energy of formation from the pure elements (eV per atom): -0.052
Mass density (g/cm3): 10.53
DOS at the Fermi energy (states/eV/cell): 3.73

# 3
Computed, not measured: a crystal of CdAg relaxed with PBEsol at the meta-GGA SCAN level of DFT.

Structure (CIF):
```
data_CdAg
_cell_length_a 2.9778
_cell_length_b 2.9778
_cell_length_c 14.1291
_cell_angle_alpha 90.00
_cell_angle_beta 90.00
_cell_angle_gamma 120.00
_space_group_name_H-M_alt 'R -3 m'
_space_group_IT_number 166
_space_group_name_Hall '-R 3 2"'
loop_
_atom_site_label
_atom_site_type_symbol
_atom_site_fract_x
_atom_site_fract_y
_atom_site_fract_z
_atom_site_occupancy
Cd1 Cd 0.0000 0.0000 0.0000 1
Ag1 Ag 0.0000 0.0000 0.5000 1
```

## Properties
Energy of formation from the pure elements (eV per atom): -0.037
Mass density (g/cm3): 10.11
DOS at the Fermi energy (states/eV/cell): 1.50

# 4
Computed, not measured: a crystal of CdAg relaxed with PBEsol at the meta-GGA SCAN level of DFT.

Structure (CIF):
```
data_CdAg
_cell_length_a 2.9755
_cell_length_b 2.9755
_cell_length_c 4.0624
_cell_angle_alpha 90.00
_cell_angle_beta 90.00
_cell_angle_gamma 90.00
_space_group_name_H-M_alt 'P 4/m m m'
_space_group_IT_number 123
_space_group_name_Hall '-P 4 2'
loop_
_atom_site_label
_atom_site_type_symbol
_atom_site_fract_x
_atom_site_fract_y
_atom_site_fract_z
_atom_site_occupancy
Cd1 Cd 0.0000 0.0000 0.0000 1
Ag1 Ag 0.5000 0.5000 0.5000 1
```

## Properties
Energy of formation from the pure elements (eV per atom): -0.057
Mass density (g/cm3): 10.17
DOS at the Fermi energy (states/eV/cell): 0.57